Material: BaSi2F
Method: DFT, meta-GGA SCAN
State: single point on PBEsol structure

```
BaSi2F
1.0
0.000 3.525 3.525
3.525 0.000 3.525
3.525 3.525 0.000
Ba Si F
1 2 1
direct
0.000 0.000 0.000 Ba
0.250 0.250 0.250 Si
0.750 0.750 0.750 Si
0.500 0.500 0.500 F
```

## Properties
DFT total energy in eV per atom: -15.54

=====

Material: Ba3SiF
Method: DFT, meta-GGA SCAN
State: single point on PBEsol structure

```
Ba3SiF
1.0
5.314 0.000 0.000
0.000 5.314 0.000
0.000 0.000 5.314
Ba Si F
3 1 1
direct
0.000 0.000 0.500 Ba
0.000 0.500 0.000 Ba
0.500 0.000 0.000 Ba
0.500 0.500 0.500 Si
0.000 0.000 0.000 F
```

## Properties
Excess energy over the best structure of this formula in the dataset in meV per atom: 0